DFT (PBE) results for RhAuO2 after structural relaxation.

ΔE_f (raw) ... 0.12 eV per atom
DOS at the Fermi energy ... 5.629 states/eV per cell
Magnetic moment ... 0.00 μB/f.u.

Cell lengths 6.6403, 6.6403, 5.3744 Å; angles 90.00, 90.00, 90.00 degrees
Atoms (fractional coordinates):
Rh 0.0000 0.0000 0.0000
Rh 0.0000 0.5000 0.2500
Rh 0.5000 0.0000 0.7500
Rh 0.5000 0.5000 0.5000
Au 0.0000 0.0000 0.5000
Au 0.0000 0.5000 0.7500
Au 0.5000 0.0000 0.2500
Au 0.5000 0.5000 0.0000
O 0.1168 0.2500 0.1250
O 0.2500 0.6168 0.3750
O 0.2500 0.8832 0.8750
O 0.3832 0.2500 0.6250
O 0.6168 0.7500 0.6250
O 0.7500 0.1168 0.8750
O 0.7500 0.3832 0.3750
O 0.8832 0.7500 0.1250